1.
! InCu2BSe4 (PBE-GGA, relaxed); values from VASP
&SYSTEM
  ibrav = 0, nat = 8, ntyp = 4
/
ATOMIC_SPECIES
In 114.82 In.upf
Cu 63.55 Cu.upf
B 10.81 B.upf
Se 78.96 Se.upf
ATOMIC_POSITIONS crystal
In 0.000 0.000 0.000
Cu 0.500 0.500 0.000
Cu 0.750 0.250 0.500
B 0.250 0.750 0.500
Se 0.152 0.619 0.057
Se 0.381 0.438 0.534
Se 0.562 0.096 0.943
Se 0.904 0.848 0.466
CELL_PARAMETERS angstrom
-2.780 2.780 5.482
2.780 -2.780 5.482
2.780 2.780 -5.482
! - symmetry = I-4
! - E (eV/cell) = -32.8



2.
! CdSnAsO (PBE-GGA, relaxed); values from VASP
&SYSTEM
  ibrav = 0, nat = 8, ntyp = 4
/
ATOMIC_SPECIES
Cd 112.41 Cd.upf
Sn 118.71 Sn.upf
As 74.92 As.upf
O 16.00 O.upf
ATOMIC_POSITIONS crystal
Cd 0.000 0.222 0.000
Cd 0.000 0.778 0.500
Sn 0.500 0.353 0.558
Sn 0.500 0.647 0.058
As 0.000 0.154 0.393
As 0.000 0.846 0.893
O 0.500 0.376 0.892
O 0.500 0.624 0.392
CELL_PARAMETERS angstrom
3.977 0.000 0.000
0.000 6.828 0.000
0.000 0.000 6.690
! - excess energy over the best structure of this formula in the dataset (kcal/mol of atoms) = 0.35
! - symmetry = Pmc2_1



3.
! Nd4Sc4O11 (PBE-GGA, relaxed); values from VASP
&SYSTEM
  ibrav = 0, nat = 19, ntyp = 3
/
ATOMIC_SPECIES
Nd 144.24 Nd.upf
Sc 44.96 Sc.upf
O 16.00 O.upf
ATOMIC_POSITIONS crystal
Nd 0.000 0.000 0.000
Nd 0.024 0.105 0.497
Nd 0.495 0.612 0.503
Nd 0.528 0.499 0.005
Sc 0.006 0.554 0.752
Sc 0.013 0.554 0.251
Sc 0.513 0.053 0.753
Sc 0.514 0.054 0.252
O 0.121 0.593 0.000
O 0.212 0.851 0.694
O 0.214 0.852 0.307
O 0.315 0.355 0.313
O 0.403 0.097 0.002
O 0.615 0.019 0.504
O 0.709 0.754 0.810
O 0.716 0.758 0.193
O 0.809 0.255 0.808
O 0.816 0.254 0.195
O 0.905 0.515 0.503
CELL_PARAMETERS angstrom
5.580 0.000 0.000
0.034 5.775 0.000
0.010 0.024 8.000
! - symmetry = P1
! - E (eV/cell) = -162.1



4.
! KHfTe3Au (PBE-GGA, relaxed); values from VASP
&SYSTEM
  ibrav = 0, nat = 24, ntyp = 4
/
ATOMIC_SPECIES
K 39.10 K.upf
Hf 178.49 Hf.upf
Te 127.60 Te.upf
Au 196.97 Au.upf
ATOMIC_POSITIONS crystal
K 0.233 0.250 0.055
K 0.267 0.750 0.555
K 0.733 0.250 0.445
K 0.767 0.750 0.945
Hf 0.012 0.250 0.317
Hf 0.488 0.750 0.817
Hf 0.512 0.250 0.183
Hf 0.988 0.750 0.683
Te 0.088 0.250 0.564
Te 0.106 0.750 0.869
Te 0.135 0.750 0.269
Te 0.365 0.250 0.769
Te 0.394 0.250 0.369
Te 0.412 0.750 0.064
Te 0.588 0.250 0.936
Te 0.606 0.750 0.631
Te 0.635 0.750 0.231
Te 0.865 0.250 0.731
Te 0.894 0.250 0.131
Te 0.912 0.750 0.436
Au 0.011 0.750 0.099
Au 0.489 0.250 0.599
Au 0.511 0.750 0.401
Au 0.989 0.250 0.901
CELL_PARAMETERS angstrom
15.998 0.000 0.000
0.000 4.202 0.000
0.000 0.000 11.202
! - symmetry = Pnma
! - E (eV/cell) = -113.1



5.
! Pm3Te (PBE-GGA, relaxed); values from VASP
&SYSTEM
  ibrav = 0, nat = 4, ntyp = 2
/
ATOMIC_SPECIES
Pm 145.00 Pm.upf
Te 127.60 Te.upf
ATOMIC_POSITIONS crystal
Pm 0.000 0.000 0.000
Pm 0.250 0.750 0.500
Pm 0.750 0.250 0.500
Te 0.500 0.500 0.000
CELL_PARAMETERS angstrom
-2.379 2.379 5.297
2.379 -2.379 5.297
2.379 2.379 -5.297
! - symmetry = I4/mmm
! - E (eV/cell) = -19.3



6.
! Li2Mg3AlPd2 (PBE-GGA, relaxed); values from VASP
&SYSTEM
  ibrav = 0, nat = 8, ntyp = 4
/
ATOMIC_SPECIES
Li 6.94 Li.upf
Mg 24.30 Mg.upf
Al 26.98 Al.upf
Pd 106.42 Pd.upf
ATOMIC_POSITIONS crystal
Li 0.000 0.500 0.241
Li 0.500 0.000 0.759
Mg 0.000 0.000 0.000
Mg 0.000 0.000 0.500
Mg 0.500 0.500 0.500
Al 0.500 0.500 0.000
Pd 0.000 0.500 0.768
Pd 0.500 0.000 0.232
CELL_PARAMETERS angstrom
4.499 0.000 0.000
0.000 4.499 0.000
0.000 0.000 6.332
! - symmetry = P-4m2
! - E (eV/cell) = -26.7



7.
! NdOsW (PBE-GGA, relaxed); values from VASP
&SYSTEM
  ibrav = 0, nat = 3, ntyp = 3
/
ATOMIC_SPECIES
Nd 144.24 Nd.upf
Os 190.23 Os.upf
W 183.84 W.upf
ATOMIC_POSITIONS crystal
Nd 0.000 0.000 0.000
Os 0.750 0.750 0.750
W 0.250 0.250 0.250
CELL_PARAMETERS angstrom
0.000 3.222 3.222
3.222 0.000 3.222
3.222 3.222 0.000
! - excess energy over the best structure of this formula in the dataset (kcal/mol of atoms) = 27.34
! - symmetry = F-43m
! - E_form (meV/atom) = 2067



8.
! YAlCdCu (PBE-GGA, relaxed); values from VASP
&SYSTEM
  ibrav = 0, nat = 4, ntyp = 4
/
ATOMIC_SPECIES
Y 88.91 Y.upf
Al 26.98 Al.upf
Cd 112.41 Cd.upf
Cu 63.55 Cu.upf
ATOMIC_POSITIONS crystal
Y 0.000 0.000 0.000
Al 0.250 0.250 0.250
Cd 0.750 0.750 0.750
Cu 0.500 0.500 0.500
CELL_PARAMETERS angstrom
0.000 3.384 3.384
3.384 0.000 3.384
3.384 3.384 0.000
! - excess energy over the best structure of this formula in the dataset (kcal/mol of atoms) = 2.46
! - symmetry = F-43m



9.
! ZrF4 (PBE-GGA, relaxed); values from VASP
&SYSTEM
  ibrav = 0, nat = 30, ntyp = 2
/
ATOMIC_SPECIES
Zr 91.22 Zr.upf
F 19.00 F.upf
ATOMIC_POSITIONS crystal
Zr 0.213 0.787 0.750
Zr 0.222 0.367 0.167
Zr 0.367 0.222 0.667
Zr 0.633 0.778 0.333
Zr 0.778 0.633 0.833
Zr 0.787 0.213 0.250
F 0.000 0.500 0.000
F 0.036 0.724 0.857
F 0.065 0.160 0.450
F 0.160 0.065 0.950
F 0.173 0.599 0.423
F 0.254 0.318 0.891
F 0.260 0.501 0.717
F 0.276 0.964 0.643
F 0.318 0.254 0.391
F 0.388 0.612 0.250
F 0.401 0.827 0.077
F 0.499 0.740 0.783
F 0.500 0.000 0.500
F 0.501 0.260 0.217
F 0.599 0.173 0.923
F 0.612 0.388 0.750
F 0.682 0.746 0.609
F 0.724 0.036 0.357
F 0.740 0.499 0.283
F 0.746 0.682 0.109
F 0.827 0.401 0.577
F 0.840 0.935 0.050
F 0.935 0.840 0.550
F 0.964 0.276 0.143
CELL_PARAMETERS angstrom
5.862 -4.951 0.000
5.862 4.951 0.000
-4.585 0.000 6.161
! - symmetry = C2/c
! - E (eV/cell) = -205.0



10.
! LiMg2Hg (PBE-GGA, relaxed); values from VASP
&SYSTEM
  ibrav = 0, nat = 8, ntyp = 3
/
ATOMIC_SPECIES
Li 6.94 Li.upf
Mg 24.30 Mg.upf
Hg 200.59 Hg.upf
ATOMIC_POSITIONS crystal
Li 0.333 0.667 0.250
Li 0.667 0.333 0.750
Mg 0.333 0.667 0.585
Mg 0.333 0.667 0.915
Mg 0.667 0.333 0.085
Mg 0.667 0.333 0.415
Hg 0.000 0.000 0.250
Hg 0.000 0.000 0.750
CELL_PARAMETERS angstrom
4.654 0.000 0.000
-2.327 4.031 0.000
0.000 0.000 9.137
! - symmetry = P6_3/mmc
! - E (eV/cell) = -11.5



11.
! Pm4PaN5 (PBE-GGA, relaxed); values from VASP
&SYSTEM
  ibrav = 0, nat = 10, ntyp = 3
/
ATOMIC_SPECIES
Pm 145.00 Pm.upf
Pa 231.04 Pa.upf
N 14.01 N.upf
ATOMIC_POSITIONS crystal
Pm 0.100 0.301 0.402
Pm 0.301 0.900 0.201
Pm 0.699 0.100 0.799
Pm 0.900 0.699 0.598
Pa 0.500 0.500 0.000
N 0.000 0.000 0.000
N 0.223 0.592 0.815
N 0.408 0.223 0.631
N 0.592 0.777 0.369
N 0.777 0.408 0.185
CELL_PARAMETERS angstrom
-3.993 3.993 2.524
3.993 -3.993 2.524
3.993 3.993 -2.524
! - symmetry = I4/m
! - E (eV/cell) = -85.6



12.
! GdMgIn (PBE-GGA, relaxed); values from VASP
&SYSTEM
  ibrav = 0, nat = 9, ntyp = 3
/
ATOMIC_SPECIES
Gd 157.25 Gd.upf
Mg 24.30 Mg.upf
In 114.82 In.upf
ATOMIC_POSITIONS crystal
Gd 0.000 0.288 0.000
Gd 0.288 0.000 0.000
Gd 0.712 0.712 0.000
Mg 0.000 0.621 0.500
Mg 0.379 0.379 0.500
Mg 0.621 0.000 0.500
In 0.000 0.000 0.500
In 0.333 0.667 0.000
In 0.667 0.333 0.000
CELL_PARAMETERS angstrom
8.552 0.000 0.000
-4.276 7.406 0.000
0.000 0.000 3.711
! - symmetry = P-62m
! - E (eV/cell) = -28.6